DFT (PBE) results for a relaxed structure of BaPb5.

It has space group F-43m (No. 216), with a = 9.423 Å, b = 9.423 Å, c = 9.423 Å, α = 90.00°, β = 90.00° and γ = 90.00°. The distinct sites, in fractional coordinates, are Ba at (0.000, 0.000, 0.000), Pb at (0.125, 0.125, 0.375) and Pb at (0.250, 0.250, 0.750).

Its crystal system is cubic. As for the density of states at the Fermi level: 15.71 states/eV/cell. The final energy is -3.591 eV per atom. As for the formation energy: -0.18 eV/atom.

DFT (PBE) results for a relaxed structure of BaPb.

It has space group F-43m (No. 216), with a = 8.098 Å, b = 8.098 Å, c = 8.098 Å, α = 90.00°, β = 90.00° and γ = 90.00°. The distinct sites, in fractional coordinates, are Ba at (0.000, 0.000, 0.000) and Pb at (0.250, 0.250, 0.750).

Its crystal system is cubic. As for the density of states at the Fermi level: 5.87 states/eV/cell. The final energy is -2.574 eV per atom. As for the formation energy: 0.24 eV/atom.

DFT (PBE) results for a relaxed structure of BaPb5.

It has space group P4/mmm (No. 123), with a = 4.145 Å, b = 4.145 Å, c = 11.911 Å, α = 90.00°, β = 90.00° and γ = 90.00°. The distinct sites, in fractional coordinates, are Ba at (0.000, 0.000, 0.000), Pb at (0.000, 0.000, 0.340), Pb at (0.500, 0.500, 0.200) and Pb at (0.500, 0.500, 0.500).

Its crystal system is tetragonal. As for the density of states at the Fermi level: 2.88 states/eV/cell. The final energy is -3.551 eV per atom. As for the formation energy: -0.14 eV/atom.

DFT (PBE) results for a relaxed structure of BaPb3.

It has space group R-3m (No. 166, hexagonal axes), with a = 7.3967 Å, b = 7.3967 Å, c = 26.3906 Å, α = 90.00°, β = 90.00° and γ = 120.00°. The distinct sites, in fractional coordinates, are Ba at (0.0000, 0.0000, 0.0000), Ba at (0.0000, 0.0000, 0.2179), Pb at (0.0000, 0.5000, 0.0000) and Pb at (0.0412, 0.5206, 0.2233).

Its crystal system is trigonal. As for the density of states at the Fermi level: 21.89 states/eV/cell. The final energy is -3.625 eV per atom. As for the formation energy: -0.36 eV/atom.

DFT (PBE) results for a relaxed structure of Ba5Pb3.

It has space group Cmmm (No. 65), with a = 9.616 Å, b = 13.089 Å, c = 5.911 Å, α = 90.00°, β = 90.00° and γ = 90.00°. The distinct sites, in fractional coordinates, are Ba at (0.000, 0.000, 0.000), Ba at (0.193, 0.500, 0.500), Ba at (0.250, 0.250, 0.000), Pb at (0.000, 0.159, 0.500) and Pb at (0.000, 0.500, 0.000).

Its crystal system is orthorhombic. As for the density of states at the Fermi level: 9.63 states/eV/cell. The final energy is -3.008 eV per atom. As for the energy above the most stable polymorph in this dataset: 124 meV per atom. As for the formation energy: -0.42 eV/atom.

DFT (PBE) results for a relaxed structure of Ba3Pb.

It has space group Pmm2 (No. 25), with a = 4.178 Å, b = 4.257 Å, c = 12.454 Å, α = 90.00°, β = 90.00° and γ = 90.00°. The distinct sites, in fractional coordinates, are Ba at (0.000, 0.000, 0.000), Ba at (0.000, 0.500, 0.316), Ba at (0.500, 0.500, 0.708) and Pb at (0.500, 0.000, 0.483).

Its crystal system is orthorhombic. As for the density of states at the Fermi level: 4.41 states/eV/cell. The final energy is -2.483 eV per atom. As for the formation energy: -0.11 eV/atom.